Entry 1:
AgAsRu2: optimized geometry, GGA-PBEsol.

POSCAR file:
```
AgAsRu2
1.0
-2.531 -1.088 0.950
0.088 -3.110 -3.328
3.415 -0.682 3.846
Ru As Ag
2 1 1
direct
0.785 0.785 0.570
0.215 0.215 0.430
0.500 0.000 0.000
0.000 0.500 0.000
```

## Properties
For the spin magnetization, the calculation gives 0.00 μB/atom. The calculation puts the calculated formation energy at 105 kJ/mol of formula units. Its space-group type is Immm (71).


Entry 2:
AgAsRu2: optimized geometry, GGA-PBEsol.

POSCAR file:
```
AgAsRu2
1.0
3.880 0.000 0.000
0.000 3.880 0.000
-1.940 -1.940 3.860
Ru As Ag
2 1 1
direct
0.000 0.000 0.000
0.750 0.250 0.500
0.250 0.750 0.500
0.500 0.500 0.000
```

## Properties
For the spin magnetization, the calculation gives 0.00 μB/atom. The calculation puts the calculated formation energy at 191 kJ/mol of formula units. Its space-group type is I-4m2 (119).


Entry 3:
AgAs2Ru: optimized geometry, GGA-PBEsol.

POSCAR file:
```
AgAs2Ru
1.0
-0.496 2.432 -1.415
-2.838 1.400 3.402
5.860 0.415 1.546
Ru As Ag
1 2 1
direct
0.500 0.000 0.000
0.816 0.816 0.632
0.184 0.184 0.368
0.000 0.500 0.000
```

## Properties
The value obtained for the energy above the most stable polymorph in this dataset is 62 kJ/mol of formula units. For the spin magnetization, the calculation gives 0.00 μB/atom. The calculation puts the calculated formation energy at 86 kJ/mol of formula units. Its space-group type is Immm (71).


Entry 4:
AgAsRu2: optimized geometry, GGA-PBEsol.

POSCAR file:
```
AgAsRu2
1.0
-2.218 0.567 1.666
0.509 -2.710 -0.642
4.962 -0.690 6.842
Ru As Ag
2 1 1
direct
0.000 0.000 0.220
0.000 0.000 0.780
0.500 0.500 0.000
0.500 0.500 0.500
```

## Properties
For the spin magnetization, the calculation gives 0.00 μB/atom. The calculation puts the calculated formation energy at 164 kJ/mol of formula units. Its space-group type is Cmmm (65).


Entry 5:
Ag7AsS6: optimized geometry, GGA-PBEsol.

POSCAR file:
```
Ag7AsS6
1.0
-2.891 8.572 -4.959
-8.006 1.018 6.426
5.829 5.649 6.367
Ag As S
28 4 24
direct
0.152 0.175 0.487
0.652 0.325 0.513
0.848 0.675 0.013
0.325 0.513 0.652
0.013 0.848 0.675
0.513 0.652 0.325
0.175 0.487 0.152
0.487 0.152 0.175
0.675 0.013 0.848
0.825 0.987 0.348
0.987 0.348 0.825
0.348 0.825 0.987
0.258 0.969 0.761
0.758 0.531 0.239
0.742 0.469 0.739
0.531 0.239 0.758
0.739 0.742 0.469
0.239 0.758 0.531
0.969 0.761 0.258
0.761 0.258 0.969
0.469 0.739 0.742
0.031 0.261 0.242
0.261 0.242 0.031
0.242 0.031 0.261
0.596 0.904 0.096
0.904 0.096 0.596
0.096 0.596 0.904
0.404 0.404 0.404
0.998 0.502 0.498
0.502 0.498 0.998
0.498 0.998 0.502
0.002 0.002 0.002
0.369 0.123 0.616
0.869 0.377 0.384
0.631 0.623 0.884
0.377 0.384 0.869
0.884 0.631 0.623
0.384 0.869 0.377
0.123 0.616 0.369
0.616 0.369 0.123
0.623 0.884 0.631
0.877 0.116 0.131
0.116 0.131 0.877
0.131 0.877 0.116
0.729 0.771 0.229
0.536 0.536 0.536
0.771 0.229 0.729
0.271 0.271 0.271
0.122 0.378 0.622
0.378 0.622 0.122
0.622 0.122 0.378
0.878 0.878 0.878
0.464 0.036 0.964
0.036 0.964 0.464
0.964 0.464 0.036
0.229 0.729 0.771
```

## Properties
Its uncorrected formation energy is -0.06 eV per atom. For the spin magnetization, the calculation gives 0.00 μB/atom. Its space-group type is P2_13 (198).


Entry 6:
AgAsS2: optimized geometry, GGA-PBEsol.

POSCAR file:
```
AgAsS2
1.0
-0.331 -3.546 -2.234
6.356 1.726 0.276
-0.055 -6.633 10.533
As S Ag
4 8 4
direct
0.222 0.521 0.632
0.701 0.479 0.868
0.778 0.479 0.368
0.299 0.521 0.132
0.236 0.220 0.920
0.016 0.780 0.580
0.764 0.780 0.080
0.984 0.220 0.420
0.575 0.297 0.195
0.723 0.297 0.695
0.425 0.703 0.805
0.277 0.703 0.305
0.500 0.000 0.000
0.935 0.000 0.750
0.500 0.000 0.500
0.065 0.000 0.250
```

## Properties
Its uncorrected formation energy is -0.12 eV per atom. For the spin magnetization, the calculation gives 0.00 μB/atom. Its space-group type is C2/c (15).


Entry 7:
AgAsS2: optimized geometry, GGA-PBEsol.

POSCAR file:
```
AgAsS2
1.0
-6.149 -2.306 -5.352
6.871 -4.658 -1.689
-2.539 -1.781 7.883
Ag As S
6 6 12
direct
0.740 0.910 0.323
0.910 0.323 0.740
0.323 0.740 0.910
0.260 0.090 0.677
0.090 0.677 0.260
0.677 0.260 0.090
0.360 0.432 0.148
0.852 0.640 0.568
0.640 0.568 0.852
0.432 0.148 0.360
0.148 0.360 0.432
0.568 0.852 0.640
0.067 0.347 0.140
0.347 0.140 0.067
0.140 0.067 0.347
0.933 0.653 0.860
0.653 0.860 0.933
0.860 0.933 0.653
0.250 0.388 0.851
0.388 0.851 0.250
0.149 0.750 0.612
0.750 0.612 0.149
0.612 0.149 0.750
0.851 0.250 0.388
```

## Properties
Its uncorrected formation energy is -0.12 eV per atom. For the spin magnetization, the calculation gives 0.00 μB/atom. Its space-group type is R-3 (148).


Entry 8:
AgAsS2: optimized geometry, GGA-PBEsol.

POSCAR file:
```
AgAsS2
1.0
5.467 0.000 0.000
0.000 5.467 0.000
-2.734 -2.734 6.195
As S Ag
2 4 2
direct
0.750 0.250 0.500
0.500 0.500 0.000
0.864 0.375 0.250
0.386 0.875 0.250
0.625 0.614 0.750
0.125 0.136 0.750
0.250 0.750 0.500
0.000 0.000 0.000
```

## Properties
Its uncorrected formation energy is 0.07 eV per atom. For the spin magnetization, the calculation gives 0.00 μB/atom. Its space-group type is I-42d (122).


Entry 9:
AgAs2SeS: optimized geometry, GGA-PBEsol.

POSCAR file:
```
AgAs2SeS
1.0
-3.768 2.627 -0.972
-2.796 -3.427 1.575
0.179 1.918 4.492
S As Se Ag
1 2 1 1
direct
0.000 0.000 0.000
0.000 0.500 0.000
0.500 0.000 0.000
0.000 0.000 0.500
0.500 0.500 0.500
```

## Properties
Its uncorrected formation energy is 0.74 eV per atom. For the spin magnetization, the calculation gives 0.00 μB/atom. Its space-group type is P4/mmm (123).


Entry 10:
AgAsSe2S: optimized geometry, GGA-PBEsol.

POSCAR file:
```
AgAsSe2S
1.0
4.880 0.000 0.000
0.000 4.880 0.000
0.000 0.000 4.960
S As Se Ag
1 1 2 1
direct
0.500 0.500 0.500
0.000 0.000 0.500
0.000 0.500 0.000
0.500 0.000 0.000
0.000 0.000 0.000
```

## Properties
Its uncorrected formation energy is 1.04 eV per atom. For the spin magnetization, the calculation gives 0.00 μB/atom. Its space-group type is P4/mmm (123).


Entry 11:
AgSbAs2: optimized geometry, GGA-PBEsol.

POSCAR file:
```
AgSbAs2
1.0
2.927 0.000 0.027
0.000 3.761 0.000
-0.200 0.000 7.600
Sb As Ag
1 2 1
direct
0.758 0.000 0.518
0.745 0.000 0.988
0.746 0.500 0.229
0.251 0.500 0.765
```

## Properties
The value obtained for the energy above the most stable polymorph in this dataset is 0 kJ/mol of formula units. Its uncorrected formation energy is 0.16 eV per atom. For the spin magnetization, the calculation gives 0.00 μB/atom. Its space-group type is Pm (6).